Entry 1:
# BeAl2Tc SCAN single point on PBEsol structure
data_BeAl2Tc
_chemical_formula_sum 'Be2 Al4 Tc2'
_cell_length_a 8.716
_cell_length_b 2.649
_cell_length_c 4.631
_cell_angle_alpha 90.00
_cell_angle_beta 98.54
_cell_angle_gamma 90.00
_space_group_name_H-M_alt 'C 1 2/m 1'
_space_group_IT_number 12
loop_
_space_group_symop_operation_xyz
'x,y,z'
'-x,-y,-z'
'-x,y,-z'
'x,-y,z'
'x+1/2,y+1/2,z'
'-x+1/2,-y+1/2,-z'
'-x+1/2,y+1/2,-z'
'x+1/2,-y+1/2,z'
loop_
_atom_site_label
_atom_site_fract_x
_atom_site_fract_y
_atom_site_fract_z
_atom_site_occupancy
Be1 0.000 0.000 0.000 1
Al1 0.248 0.000 0.752 1
Tc1 0.000 0.500 0.500 1
# - ΔE_f: -0.37 eV/f.u.

Entry 2:
# PrGaPt SCAN single point on PBEsol structure
data_PrGaPt
_chemical_formula_sum 'Pr4 Ga4 Pt4'
_cell_length_a 7.114
_cell_length_b 4.472
_cell_length_c 7.703
_cell_angle_alpha 90.00
_cell_angle_beta 90.00
_cell_angle_gamma 90.00
_space_group_name_H-M_alt 'P n m a'
_space_group_IT_number 62
loop_
_space_group_symop_operation_xyz
'x,y,z'
'-x,-y,-z'
'-x+1/2,-y,z+1/2'
'x+1/2,y,-z+1/2'
'x+1/2,-y+1/2,-z+1/2'
'-x+1/2,y+1/2,z+1/2'
'-x,y+1/2,-z'
'x,-y+1/2,z'
loop_
_atom_site_label
_atom_site_fract_x
_atom_site_fract_y
_atom_site_fract_z
_atom_site_occupancy
Pr1 0.018 0.250 0.196 1
Ga1 0.168 0.250 0.577 1
Pt1 0.213 0.750 0.403 1
# - ΔE_f: -3.64 eV/f.u.

Entry 3:
# CuIr2Os SCAN single point on PBEsol structure
data_CuIr2Os
_chemical_formula_sum 'Cu1 Ir2 Os1'
_cell_length_a 2.709
_cell_length_b 3.736
_cell_length_c 5.313
_cell_angle_alpha 90.00
_cell_angle_beta 90.00
_cell_angle_gamma 90.00
_space_group_name_H-M_alt 'P m m m'
_space_group_IT_number 47
loop_
_space_group_symop_operation_xyz
'x,y,z'
'-x,-y,-z'
'-x,-y,z'
'x,y,-z'
'x,-y,-z'
'-x,y,z'
'-x,y,-z'
'x,-y,z'
loop_
_atom_site_label
_atom_site_fract_x
_atom_site_fract_y
_atom_site_fract_z
_atom_site_occupancy
Cu1 0.000 0.000 0.000 1
Ir1 0.500 0.500 0.247 1
Os1 0.000 0.000 0.500 1
# - ΔE to the lowest computed polymorph: 29.1 meV/atom
# - ΔE_f: 0.28 eV/f.u.

Entry 4:
# BaCaZr2N SCAN single point on PBEsol structure
data_BaCaZr2N
_chemical_formula_sum 'Ba1 Ca1 Zr2 N1'
_cell_length_a 5.203
_cell_length_b 5.203
_cell_length_c 6.011
_cell_angle_alpha 90.00
_cell_angle_beta 90.00
_cell_angle_gamma 90.00
_space_group_name_H-M_alt 'P 4/m m m'
_space_group_IT_number 123
_space_group_name_Hall '-P 4 2'
loop_
_atom_site_label
_atom_site_fract_x
_atom_site_fract_y
_atom_site_fract_z
_atom_site_occupancy
Ba1 0.000 0.000 0.000 1
Ca1 0.000 0.000 0.500 1
Zr1 0.000 0.500 0.000 1
N1 0.500 0.500 0.500 1
# - Energy relative to the elements, uncorrected: 2.5619 eV per atom

Entry 5:
# BeRe3N SCAN single point on PBEsol structure
data_BeRe3N
_chemical_formula_sum 'Be1 Re3 N1'
_cell_length_a 3.975
_cell_length_b 3.975
_cell_length_c 3.975
_cell_angle_alpha 90.00
_cell_angle_beta 90.00
_cell_angle_gamma 90.00
_space_group_name_H-M_alt 'P m -3 m'
_space_group_IT_number 221
_space_group_name_Hall '-P 4 2 3'
loop_
_atom_site_label
_atom_site_fract_x
_atom_site_fract_y
_atom_site_fract_z
_atom_site_occupancy
Be1 0.000 0.000 0.000 1
Re1 0.000 0.500 0.500 1
N1 0.500 0.500 0.500 1
# - Energy relative to the elements, uncorrected: 0.4927 eV per atom

Entry 6:
# NaTaCl3 SCAN single point on PBEsol structure
data_NaTaCl3
_chemical_formula_sum 'Na1 Ta1 Cl3'
_cell_length_a 4.849
_cell_length_b 4.849
_cell_length_c 4.849
_cell_angle_alpha 90.00
_cell_angle_beta 90.00
_cell_angle_gamma 90.00
_space_group_name_H-M_alt 'P m -3 m'
_space_group_IT_number 221
_space_group_name_Hall '-P 4 2 3'
loop_
_atom_site_label
_atom_site_fract_x
_atom_site_fract_y
_atom_site_fract_z
_atom_site_occupancy
Na1 0.000 0.000 0.000 1
Ta1 0.500 0.500 0.500 1
Cl1 0.000 0.500 0.500 1
# - Energy relative to the elements, uncorrected: -0.8077 eV per atom

Copy entry 3 word for word.
# CuIr2Os SCAN single point on PBEsol structure
data_CuIr2Os
_chemical_formula_sum 'Cu1 Ir2 Os1'
_cell_length_a 2.709
_cell_length_b 3.736
_cell_length_c 5.313
_cell_angle_alpha 90.00
_cell_angle_beta 90.00
_cell_angle_gamma 90.00
_space_group_name_H-M_alt 'P m m m'
_space_group_IT_number 47
loop_
_space_group_symop_operation_xyz
'x,y,z'
'-x,-y,-z'
'-x,-y,z'
'x,y,-z'
'x,-y,-z'
'-x,y,z'
'-x,y,-z'
'x,-y,z'
loop_
_atom_site_label
_atom_site_fract_x
_atom_site_fract_y
_atom_site_fract_z
_atom_site_occupancy
Cu1 0.000 0.000 0.000 1
Ir1 0.500 0.500 0.247 1
Os1 0.000 0.000 0.500 1
# - ΔE to the lowest computed polymorph: 29.1 meV/atom
# - ΔE_f: 0.28 eV/f.u.